Material: HfTi3Zn
Method: DFT, PBEsol
State: optimized geometry

The structure belongs to space group Pm-3m (No. 221); the cell edges are 4.636, 4.636 and 4.636 Å and the angles 90.00°, 90.00° and 90.00°. The asymmetric unit holds Hf at (0.000, 0.000, 0.000), Ti at (0.000, 0.500, 0.500) and Zn at (0.500, 0.500, 0.500).

The total energy comes out at -6.656 eV per atom. The value obtained for the volume is 19.927 Å³/atom. The energy relative to the elements is 754 meV/atom. As for the spin magnetization: 3.45 μB per cell.